Compound: MgW2Se
Source: Alexandria
Functional: PBE-GGA
Structure: optimized geometry

Values from the calculation:
Magnetic moment = 0.000 μB per formula unit
E_tot = -7.116 eV per atom
Symmetry = P4/mmm

Geometry as POSCAR:
```
MgW2Se
1.0
-3.1744 3.6260 0.8094
-2.2943 -2.4106 1.8009
1.7356 0.7899 3.2684
W Se Mg
2 1 1
Cartesian
0.0000 0.0000 0.0000
-0.2794 -0.8104 2.5347
-0.7194 2.2079 2.0389
-2.7344 0.6077 1.3052
```

Compound: MgW2Se
Source: Alexandria
Functional: PBE-GGA
Structure: optimized geometry

Values from the calculation:
Magnetic moment = 0.000 μB per formula unit
E_tot = -7.264 eV per atom
Symmetry = Immm

Geometry as POSCAR:
```
MgW2Se
1.0
5.6175 0.0123 0.0051
2.9259 4.7954 -0.0051
-3.7754 -3.2859 2.5508
W Se Mg
2 1 1
Cartesian
4.0358 2.2711 0.0000
0.2360 0.1328 0.0000
1.7111 1.9567 1.2728
3.0569 -0.4348 1.2780
```

Compound: Mg2WSe
Source: Alexandria
Functional: PBE-GGA
Structure: optimized geometry

Values from the calculation:
Magnetic moment = 0.001 μB per formula unit
E_tot = -4.468 eV per atom
Symmetry = P4/mmm

Geometry as POSCAR:
```
Mg2WSe
1.0
4.7158 0.0000 0.0000
0.0000 4.7158 0.0000
0.0000 0.0000 3.2928
W Se Mg
1 1 2
Cartesian
0.0000 2.3579 1.6464
2.3579 0.0000 1.6464
0.0000 0.0000 0.0000
2.3579 2.3579 0.0000
```

Compound: Mg2WSe
Source: Alexandria
Functional: PBE-GGA
Structure: optimized geometry

Values from the calculation:
Magnetic moment = 0.000 μB per formula unit
E_tot = -4.805 eV per atom
Symmetry = P4mm

Geometry as POSCAR:
```
Mg2WSe
1.0
-1.0629 0.8793 -2.8235
-2.9382 -0.6536 0.9025
-0.8460 7.4435 2.6365
Se Mg W
1 2 1
Cartesian
-0.4640 4.0820 1.4459
-2.2268 2.1035 -0.2554
-0.8178 7.1957 2.5488
-2.6075 5.4532 0.9311
```

Compound: Mg2WSe
Source: Alexandria
Functional: PBE-GGA
Structure: optimized geometry

Values from the calculation:
Magnetic moment = 0.000 μB per formula unit
E_tot = -4.735 eV per atom
Symmetry = Pm

Geometry as POSCAR:
```
Mg2WSe
1.0
-3.6656 -0.5151 -2.5282
1.7288 -1.4038 -2.2206
-0.0511 -5.4180 1.1780
W Mg Se
1 2 1
Cartesian
-0.8892 -5.0663 -1.6526
-1.3291 -2.1561 -1.6076
1.6010 -6.5861 -0.9795
1.1457 -3.7610 -0.8950
```

Compound: MgWSe
Source: Alexandria
Functional: PBE-GGA
Structure: optimized geometry

Values from the calculation:
Magnetic moment = 0.000 μB per formula unit
E_tot = -5.049 eV per atom
Symmetry = F-43m

Geometry as POSCAR:
```
MgWSe
1.0
4.3936 0.0000 0.0000
2.1968 3.8050 0.0000
2.1968 1.2683 3.5873
W Mg Se
1 1 1
Cartesian
6.5904 3.8050 2.6905
0.0000 0.0000 0.0000
4.3936 2.5366 1.7937
```

Compound: MgWSe2
Source: Alexandria
Functional: PBE-GGA
Structure: optimized geometry

Values from the calculation:
Magnetic moment = 0.000 μB per formula unit
E_tot = -5.404 eV per atom
Symmetry = P4/mmm

Geometry as POSCAR:
```
MgWSe2
1.0
3.2006 0.0000 0.0000
0.0000 3.2006 0.0000
0.0000 0.0000 6.9583
Se Mg W
2 1 1
Cartesian
0.0000 0.0000 0.1944
0.0000 0.0000 3.2847
1.6003 1.6003 5.2187
1.6003 1.6003 1.7396
```

Compound: MgWSe4
Source: Alexandria
Functional: PBE-GGA
Structure: optimized geometry

Values from the calculation:
Magnetic moment = 3.556 μB per formula unit
E_tot = -3.672 eV per atom
Symmetry = F-43m

Geometry as POSCAR:
```
MgWSe4
1.0
0.0000 3.9988 3.9988
3.9988 0.0000 3.9988
3.9988 3.9988 0.0000
Se W Mg
4 1 1
Cartesian
4.9951 4.9951 3.0025
4.9951 3.0025 4.9951
3.0025 4.9951 4.9951
3.0025 3.0025 3.0025
5.9982 5.9982 5.9982
0.0000 0.0000 0.0000
```

Compound: MgWSe2
Source: Alexandria
Functional: PBE-GGA
Structure: optimized geometry

Values from the calculation:
Magnetic moment = 0.000 μB per formula unit
E_tot = -5.522 eV per atom
Symmetry = P4mm

Geometry as POSCAR:
```
MgWSe2
1.0
-0.3622 -2.1012 -2.6496
2.7471 -1.7368 1.0018
-3.9930 -4.1176 3.8110
Mg Se W
1 2 1
Cartesian
-1.8448 -5.0511 2.0749
-0.1629 -3.3167 0.4697
-3.5758 -3.6873 3.4128
-2.0141 -2.0769 1.9223
```

Compound: Mg2WSe
Source: Alexandria
Functional: PBE-GGA
Structure: optimized geometry

Values from the calculation:
Magnetic moment = 0.000 μB per formula unit
E_tot = -4.525 eV per atom
Symmetry = C2/m

Geometry as POSCAR:
```
Mg2WSe
1.0
5.5424 -0.0120 -0.0032
4.6248 3.0545 -0.0032
1.9243 0.5759 4.1658
Mg Se W
2 1 1
Cartesian
5.9042 1.7669 2.1502
2.0658 0.6182 4.0952
9.0686 2.7138 3.1195
3.0229 0.9046 1.0398
```

Compound: MgW2Se
Source: Alexandria
Functional: PBE-GGA
Structure: optimized geometry

Values from the calculation:
Magnetic moment = 0.000 μB per formula unit
E_tot = -6.770 eV per atom
Symmetry = Fm-3m

Geometry as POSCAR:
```
MgW2Se
1.0
0.0000 3.1907 3.1907
3.1907 0.0000 3.1907
3.1907 3.1907 0.0000
Se W Mg
1 2 1
Cartesian
3.1907 3.1907 3.1907
4.7860 4.7860 4.7860
1.5953 1.5953 1.5953
0.0000 0.0000 0.0000
```

Compound: Mg4WSe
Source: Alexandria
Functional: PBE-GGA
Structure: optimized geometry

Values from the calculation:
Magnetic moment = 1.448 μB per formula unit
E_tot = -3.167 eV per atom
Symmetry = F-43m

Geometry as POSCAR:
```
Mg4WSe
1.0
0.0000 3.8986 3.8986
3.8986 0.0000 3.8986
3.8986 3.8986 0.0000
Mg Se W
4 1 1
Cartesian
2.9143 4.8829 4.8829
4.8829 2.9143 4.8829
2.9143 2.9143 2.9143
4.8829 4.8829 2.9143
5.8479 5.8479 5.8479
0.0000 0.0000 0.0000
```